La2TcSe | Alexandria via LeMat-Bulk | PBE-GGA | relaxed; uncorrected formation energy = -0.635 eV/atom; DOS(E_F) = 4.5 states/eV/cell; raw total energy = -6.5615 eV per atom
1.0
-0.607 -2.874 2.183
3.442 -1.147 -0.554
5.449 2.920 5.359
La Se Tc
2 1 1
Direct
0.000 0.980 0.987 La
0.000 0.520 0.513 La
0.500 0.250 0.250 Se
0.500 0.750 0.750 Tc